The following is a PBE calculation of HgAs2F8 after structural relaxation, from Alexandria.

Unit cell a=6.9831 b=6.9370 c=12.2443 alpha=107.57 beta=73.43 gamma=59.78
Last column: nearest neighbours and their distance in Å.
Element x y z (fractional)
F 0.3044 0.4905 0.3065  1 Hg 1.99
F 0.2201 0.3504 0.6651  1 As 1.76
F 0.7545 0.7980 0.5631  1 As 1.78
As 0.7450 0.5657 0.4573  3 F 1.76-1.79
F 0.1157 0.7020 0.9369  1 As 1.78
As 0.2320 0.0657 0.9573  3 F 1.76-1.79
F 0.6043 0.2197 0.4577  1 As 1.79
F 0.1014 0.0095 0.1935  1 Hg 1.99
F 0.6956 0.5095 0.6935  1 Hg 1.99
Hg 0.8080 0.2500 0.7500  2 F 1.99
F 0.7643 0.8504 0.1651  1 As 1.76
F 0.7799 0.6496 0.3349  1 As 1.76
F 0.3957 0.7803 0.5423  1 As 1.79
F 0.8986 0.9905 0.8065  1 Hg 1.99
F 0.2817 0.2803 0.0423  1 As 1.79
F 0.2455 0.2020 0.4369  1 As 1.78
F 0.2357 0.1496 0.8349  1 As 1.76
As 0.7680 0.9343 0.0427  3 F 1.76-1.79
F 0.7183 0.7197 0.9577  1 As 1.79
As 0.2550 0.4343 0.5427  3 F 1.76-1.79
Hg 0.1920 0.7500 0.2500  2 F 1.99
F 0.8843 0.2980 0.0631  1 As 1.78

Output
relative energy among the computed polymorphs: 0.000 eV/atom
formation energy (no corrections): -1.9044 eV per atom
symmetry: C2/c, No. 15

---

The following is a PBE calculation of La2MoPb after structural relaxation, from Alexandria.

Unit cell a=3.4795 b=3.4795 c=9.3405 alpha=90.00 beta=90.00 gamma=91.49
Last column: nearest neighbours and their distance in Å.
Element x y z (fractional)
La 0.0000 0.0000 0.0464  4 Mo 3.08-3.14
Pb 0.5000 0.5000 0.7500  4 Pb 3.48, 8 La 3.68-3.72
La 0.0000 0.0000 0.4536  4 Mo 3.08-3.14
Mo 0.5000 0.5000 0.2500  8 La 3.08-3.14

Output
formation energy: 0.49 eV per formula unit
symmetry: Cmmm, No. 65

---

The following is a PBE calculation of TlTc2Au after structural relaxation, from Alexandria.

Unit cell a=5.1031 b=5.1031 c=5.1031 alpha=133.09 beta=133.09 gamma=68.52
Last column: nearest neighbours and their distance in Å.
Element x y z (fractional)
Au 0.7500 0.2500 0.5000  4 Tl 2.87, 8 Tc 2.93
Tl 0.2500 0.7500 0.5000  4 Au 2.87, 8 Tc 2.93
Tc 0.5000 0.5000 0.0000  4 Tc 2.87, 4 Au 2.93, 4 Tl 2.93
Tc 0.0000 0.0000 0.0000  4 Tc 2.87, 4 Tl 2.93, 4 Au 2.93

Output
relative energy among the computed polymorphs: 0.415 eV/atom
formation energy: 2.77 eV per formula unit
symmetry: I4/mmm, No. 139